VASP calculation (PBE-GGA) on Pm2Ga3RuPt4 after structural relaxation.

Cell: 4.115 4.115 11.195 Å, 90.00 90.00 90.00°
Fractional coordinates of all 10 atoms:
Pt 0.500 0.500 0.000
Pt 0.000 0.000 0.000
Pt 0.000 0.500 0.353
Pt 0.500 0.000 0.647
Pm 0.500 0.000 0.254
Pm 0.000 0.500 0.746
Ga 0.500 0.000 0.867
Ga 0.000 0.500 0.133
Ga 0.000 0.000 0.500
Ru 0.500 0.500 0.500

Values from the calculation:
ΔE_f   -0.80 eV per atom
Symmetry   P-4m2


VASP calculation (PBE-GGA) on Pm2Ga4RuPt3 after structural relaxation.

Cell: 4.331 4.331 10.177 Å, 90.00 90.00 90.00°
Fractional coordinates of all 10 atoms:
Pt 0.500 0.000 0.869
Pt 0.000 0.500 0.131
Pt 0.000 0.000 0.500
Ga 0.500 0.500 0.000
Ga 0.000 0.000 0.000
Ga 0.000 0.500 0.375
Ga 0.500 0.000 0.625
Ru 0.500 0.500 0.500
Pm 0.500 0.000 0.261
Pm 0.000 0.500 0.739

Values from the calculation:
ΔE_f   -0.87 eV per atom
Symmetry   P-4m2


VASP calculation (PBE-GGA) on Pm3Ga2SbPt9 after structural relaxation.

Cell: 6.614 6.614 9.122 Å, 90.00 90.00 120.00°
Fractional coordinates of all 15 atoms:
Pt 0.140 0.860 0.270
Pt 0.721 0.860 0.270
Pt 0.500 0.500 0.000
Pt 0.860 0.140 0.730
Pt 0.860 0.721 0.730
Pt 0.279 0.140 0.730
Pt 0.140 0.279 0.270
Pt 0.000 0.500 0.000
Pt 0.500 0.000 0.000
Pm 0.667 0.333 0.255
Pm 0.333 0.667 0.745
Pm 0.000 0.000 0.000
Ga 0.333 0.667 0.181
Ga 0.667 0.333 0.819
Sb 0.000 0.000 0.500

Values from the calculation:
Symmetry   P-3m1
E_form (uncorrected)   -566 meV/atom


VASP calculation (PBE-GGA) on PmScGa2Pt2 after structural relaxation.

Cell: 4.448 4.448 6.805 Å, 90.00 90.00 120.00°
Fractional coordinates of all 6 atoms:
Pt 0.333 0.667 0.713
Pt 0.667 0.333 0.287
Ga 0.667 0.333 0.709
Ga 0.333 0.667 0.291
Pm 0.000 0.000 0.000
Sc 0.000 0.000 0.500

Values from the calculation:
ΔE_f   -1.06 eV per atom
Symmetry   P-3m1


VASP calculation (PBE-GGA) on Pm2ScGa3Pt4 after structural relaxation.

Cell: 4.155 4.155 11.428 Å, 90.00 90.00 90.00°
Fractional coordinates of all 10 atoms:
Pt 0.500 0.000 0.650
Pt 0.000 0.000 0.000
Pt 0.000 0.500 0.350
Pt 0.500 0.500 0.000
Ga 0.500 0.000 0.870
Ga 0.000 0.000 0.500
Ga 0.000 0.500 0.130
Pm 0.500 0.000 0.236
Pm 0.000 0.500 0.764
Sc 0.500 0.500 0.500

Values from the calculation:
ΔE_f   -1.02 eV per atom
Symmetry   P-4m2


VASP calculation (PBE-GGA) on Pm2ScGa4Pt3 after structural relaxation.

Cell: 4.199 4.199 11.348 Å, 90.00 90.00 90.00°
Fractional coordinates of all 10 atoms:
Pm 0.500 0.000 0.237
Pm 0.000 0.500 0.763
Pt 0.500 0.000 0.871
Pt 0.000 0.500 0.129
Pt 0.000 0.000 0.500
Ga 0.500 0.000 0.653
Ga 0.000 0.500 0.347
Ga 0.000 0.000 0.000
Ga 0.500 0.500 0.000
Sc 0.500 0.500 0.500

Values from the calculation:
ΔE_f   -0.91 eV per atom
Symmetry   P-4m2


| no. | V (Å³ per cell) |
| --- | --- |
| 1 | 190 |
| 2 | 191 |
| 3 | 346 |
| 4 | 117 |
| 5 | 197 |
| 6 | 200 |